Version a
{"formula": "Zr2BIr6", "functional": "GGA-PBE", "state": "relaxed", "lattice_angstrom": [[-1.764, 3.089, 4.524], [-3.553, -2.342, 3.874], [1.923, -1.265, 5.274]], "species": ["Zr", "Zr", "B", "Ir", "Ir", "Ir", "Ir", "Ir", "Ir"], "fractional_positions": [[0.750, 0.750, 0.750], [0.250, 0.250, 0.250], [0.000, 0.000, 0.000], [0.742, 0.742, 0.258], [0.258, 0.742, 0.258], [0.742, 0.258, 0.258], [0.258, 0.258, 0.742], [0.742, 0.258, 0.742], [0.258, 0.742, 0.742]], "mass_density_g_cm3": 16.59, "vol_a3_per_fu": 134.7, "spacegroup": "Fm-3m", "magnetic_moment_mub_per_fu": 0.0}


Version b
{"formula": "Zr2BIr6", "functional": "GGA-PBE", "state": "relaxed", "lattice_angstrom": [[-2.807, 2.651, 1.425], [-2.878, -2.935, -0.209], [1.719, -2.220, 7.517]], "species": ["Zr", "Zr", "B", "Ir", "Ir", "Ir", "Ir", "Ir", "Ir"], "fractional_positions": [[0.000, 0.000, 0.738], [0.000, 0.000, 0.262], [0.500, 0.500, 0.000], [0.000, 0.500, 0.000], [0.000, 0.500, 0.500], [0.500, 0.500, 0.738], [0.500, 0.500, 0.262], [0.500, 0.000, 0.000], [0.500, 0.000, 0.500]], "mass_density_g_cm3": 16.45, "vol_a3_per_fu": 135.9, "spacegroup": "P4/mmm", "magnetic_moment_mub_per_fu": 0.0}


In terms of stability, version a leads; the second structure lies 91 meV per atom higher.


Version a
{"formula": "KLa3B", "functional": "GGA-PBE", "state": "relaxed", "lattice_angstrom": [[5.394, 0.000, 0.000], [0.000, 5.394, 0.000], [0.000, 0.000, 5.394]], "species": ["K", "B", "La", "La", "La"], "fractional_positions": [[0.000, 0.000, 0.000], [0.500, 0.500, 0.500], [0.000, 0.500, 0.000], [0.000, 0.000, 0.500], [0.500, 0.000, 0.000]], "mass_density_g_cm3": 4.94, "vol_a3_per_fu": 156.9, "spacegroup": "Pm-3m", "magnetic_moment_mub_per_fu": 0.0}


Version b
{"formula": "KLa3B", "functional": "GGA-PBE", "state": "relaxed", "lattice_angstrom": [[-4.226, 3.502, -1.113], [-2.534, -1.549, 4.748], [2.661, 4.087, 2.753]], "species": ["K", "B", "La", "La", "La"], "fractional_positions": [[0.500, 0.500, 0.500], [0.000, 0.000, 0.000], [0.000, 0.500, 0.000], [0.000, 0.000, 0.500], [0.500, 0.000, 0.000]], "mass_density_g_cm3": 4.41, "vol_a3_per_fu": 175.7, "spacegroup": "Pm-3m", "magnetic_moment_mub_per_fu": 0.0}


In terms of stability, version b leads; the second structure lies 1522 meV per atom higher.


Version a
{"formula": "KLa2B2", "functional": "GGA-PBE", "state": "relaxed", "lattice_angstrom": [[-7.709, -2.756, -1.607], [0.660, -5.489, 6.249], [-1.235, 2.233, 2.092]], "species": ["K", "K", "B", "B", "B", "B", "La", "La", "La", "La"], "fractional_positions": [[0.000, 0.000, 0.000], [0.500, 0.500, 0.000], [0.343, 0.843, 0.000], [0.843, 0.657, 0.000], [0.657, 0.157, 0.000], [0.157, 0.343, 0.000], [0.135, 0.635, 0.500], [0.635, 0.865, 0.500], [0.865, 0.365, 0.500], [0.365, 0.135, 0.500]], "mass_density_g_cm3": 4.89, "vol_a3_per_fu": 114.8, "spacegroup": "P4/mbm", "magnetic_moment_mub_per_fu": 0.0}


Version b
{"formula": "KLa2B2", "functional": "GGA-PBE", "state": "relaxed", "lattice_angstrom": [[5.399, 0.000, 0.000], [0.000, 5.399, 0.000], [2.699, 2.699, 4.074]], "species": ["K", "B", "B", "La", "La"], "fractional_positions": [[0.000, 0.000, 0.000], [0.402, 0.402, 0.197], [0.598, 0.598, 0.803], [0.750, 0.250, 0.500], [0.250, 0.750, 0.500]], "mass_density_g_cm3": 4.73, "vol_a3_per_fu": 118.7, "spacegroup": "I4/mmm", "magnetic_moment_mub_per_fu": 1.4}


In terms of stability, version b leads; the second structure lies 38 meV per atom higher.


Version a
{"formula": "KLaB2", "functional": "GGA-PBE", "state": "relaxed", "lattice_angstrom": [[0.000, 3.447, 3.447], [3.447, 0.000, 3.447], [3.447, 3.447, 0.000]], "species": ["K", "B", "B", "La"], "fractional_positions": [[0.000, 0.000, 0.000], [0.250, 0.250, 0.250], [0.750, 0.750, 0.750], [0.500, 0.500, 0.500]], "mass_density_g_cm3": 4.05, "vol_a3_per_fu": 81.9, "spacegroup": "Fm-3m", "magnetic_moment_mub_per_fu": 0.0}


Version b
{"formula": "KLaB2", "functional": "GGA-PBE", "state": "relaxed", "lattice_angstrom": [[5.032, 0.000, 0.000], [0.000, 5.032, 0.000], [2.516, 2.516, 8.796]], "species": ["K", "K", "B", "B", "B", "B", "La", "La"], "fractional_positions": [[0.500, 0.500, 0.000], [0.250, 0.750, 0.500], [0.875, 0.125, 0.250], [0.875, 0.625, 0.250], [0.375, 0.125, 0.750], [0.875, 0.125, 0.750], [0.000, 0.000, 0.000], [0.750, 0.250, 0.500]], "mass_density_g_cm3": 2.98, "vol_a3_per_fu": 111.4, "spacegroup": "I4_1/amd", "magnetic_moment_mub_per_fu": 0.0}


In terms of stability, version a leads; the second structure lies 286 meV per atom higher.